# 1
Density functional theory data (GGA-PBE) for a relaxed Zn2As2Br crystal.

abc: 8.5347 8.5347 2.7568
angles: 90.00 90.00 90.00
Fractional positions:
Zn 0.1564 0.3436 0.0000
Zn 0.3436 0.8436 0.0000
Zn 0.6564 0.1564 0.0000
Zn 0.8436 0.6564 0.0000
As 0.1353 0.6353 0.5000
As 0.3647 0.1353 0.5000
As 0.6353 0.8647 0.5000
As 0.8647 0.3647 0.5000
Br 0.0000 0.0000 0.0000
Br 0.5000 0.5000 0.0000

Results
- E above lowest polymorph: 49 kJ/mol of formula units
- Formation energy from raw total energies: 0.89 eV/f.u.
- Density of states at the Fermi level: 0.54 states/eV per atom

---

# 2
Density functional theory data (GGA-PBE) for a relaxed Zn2AsBr crystal.

abc: 4.8365 4.8365 4.8365
angles: 60.00 60.00 60.00
Fractional positions:
Zn 0.2500 0.2500 0.2500
Zn 0.7500 0.7500 0.7500
As 0.0000 0.0000 0.0000
Br 0.5000 0.5000 0.5000

Results
- E above lowest polymorph: 271 kJ/mol of formula units
- Formation energy from raw total energies: 1.16 eV/f.u.
- Density of states at the Fermi level: 0.42 states/eV per atom

---

# 3
Density functional theory data (GGA-PBE) for a relaxed ZnAsBr2 crystal.

abc: 11.5234 11.5234 11.5234
angles: 17.75 17.75 17.75
Fractional positions:
Zn 0.0000 0.0000 0.0000
As 0.5000 0.5000 0.5000
Br 0.2870 0.2870 0.2870
Br 0.7130 0.7130 0.7130

Results
- E above lowest polymorph: 113 kJ/mol of formula units
- Formation energy from raw total energies: -0.08 eV/f.u.
- Density of states at the Fermi level: 0.41 states/eV per atom

---

# 4
Density functional theory data (GGA-PBE) for a relaxed Zn2AsBr crystal.

abc: 7.6870 7.6870 7.6870
angles: 152.22 152.22 39.69
Fractional positions:
Zn 0.0000 0.0000 0.0000
Zn 0.7500 0.2500 0.5000
As 0.2500 0.7500 0.5000
Br 0.5000 0.5000 0.0000

Results
- E above lowest polymorph: 223 kJ/mol of formula units
- Formation energy from raw total energies: 0.67 eV/f.u.
- Density of states at the Fermi level: 0.61 states/eV per atom

---

Question: Which formula does entry 3 have?
Answer: ZnAsBr2